This record from the Alexandria database describes PmNd4Pa3P8 after structural relaxation. The functional is PBE.

Cell lengths 8.1504, 8.1655, 8.1497 Å; angles 119.94, 120.00, 90.00 degrees
With the nearest neighbours (Å) after each atom.
Fractional positions:
Nd1 0.5000 0.0000 0.0000  6 P 2.89-2.90
Nd2 0.0000 0.0000 0.5000  6 P 2.95-2.96
Nd3 0.5000 0.0000 0.5000  6 P 2.95-2.96
Nd4 0.0000 0.0000 0.0000  6 P 2.95-2.96
P1 0.2627 0.2642 0.0134  2 Pa 2.81, 1 Pm 2.88, 3 Nd 2.90-2.96
P2 0.7508 0.2642 0.0134  2 Pa 2.81, 1 Pm 2.88, 3 Nd 2.90-2.96
P3 0.2493 0.7358 0.4985  2 Pa 2.81, 1 Pm 2.88, 3 Nd 2.89-2.96
P4 0.2492 0.7358 0.9866  2 Pa 2.81, 1 Pm 2.88, 3 Nd 2.90-2.96
P5 0.7507 0.2642 0.5015  2 Pa 2.81, 1 Pm 2.88, 3 Nd 2.89-2.96
P6 0.7446 0.7339 0.4892  3 Pa 2.82, 3 Nd 2.95
P7 0.2554 0.2661 0.5108  3 Pa 2.82, 3 Nd 2.95
P8 0.7373 0.7358 0.9866  2 Pa 2.81, 1 Pm 2.88, 3 Nd 2.90-2.96
Pa1 0.5000 0.5000 0.5000  6 P 2.81-2.82
Pa2 0.0000 0.5000 0.5000  6 P 2.81-2.82
Pa3 0.5000 0.5000 0.0000  6 P 2.81-2.82
Pm1 0.0000 0.5000 0.0000  6 P 2.88

Values from the calculation:
The energy comes out at -0.273 hartree per atom. Its energy relative to the elements is -1.4651 eV/atom.